Here is crystalline Mg3SiHg at its relaxed geometry from the Alexandria database. Energies are from PBE-GGA.

Properties
- formation energy without anion corrections (kcal/mol of atoms) = 11.37
- crystal system = cubic
- E (eV/f.u.) = -8.0
- polymorph energy (0 for the lowest one) (eV/f.u.) = 1.84
- total magnetic moment (μB/atom) = 0.000

Lattice parameters (Å, degrees): 5.140 5.140 5.140 90.00 90.00 90.00
Positions (direct):
Hg (0.000, 0.000, 0.000)
Mg (0.000, 0.000, 0.500)
Mg (0.000, 0.500, 0.000)
Mg (0.500, 0.000, 0.000)
Si (0.500, 0.500, 0.500)

Here is crystalline ScVReNi at its relaxed geometry from the Alexandria database. Energies are from PBE-GGA.

Properties
- crystal system = cubic
- E (eV/f.u.) = -34.3
- total magnetic moment (μB/atom) = 0.051
- energy of formation from the pure elements (eV per atom) = -0.1501

Lattice parameters (Å, degrees): 4.364 4.364 4.364 60.00 60.00 60.00
Site moments in Bohr magnetons follow the coordinates.
Positions (direct):
V (0.000, 0.000, 0.000)  0.16
Sc (0.500, 0.500, 0.500)  0.00
Ni (0.250, 0.250, 0.250)  0.06
Re (0.750, 0.750, 0.750)  -0.03

Here is crystalline Sm4SiSeS2 at its relaxed geometry from the Alexandria database. Energies are from PBE-GGA.

Properties
- formation energy without anion corrections (kcal/mol of atoms) = -38.97
- crystal system = monoclinic
- E (eV/f.u.) = -49.6
- total magnetic moment (μB/atom) = 0.000

Lattice parameters (Å, degrees): 4.109 7.082 7.181 70.53 90.00 90.00
Positions (direct):
S (0.500, 0.000, 0.500)
S (0.000, 0.000, 0.000)
Sm (0.500, 0.249, 0.743)
Sm (0.000, 0.243, 0.263)
Sm (0.500, 0.751, 0.257)
Sm (0.000, 0.757, 0.737)
Si (0.000, 0.500, 0.500)
Se (0.500, 0.500, 0.000)

Here is crystalline Sm2PuZrN4 at its relaxed geometry from the Alexandria database. Energies are from PBE-GGA.

Properties
- formation energy without anion corrections (kcal/mol of atoms) = -34.62
- crystal system = monoclinic
- E (eV/f.u.) = -77.6
- total magnetic moment (μB/atom) = 0.585

Lattice parameters (Å, degrees): 3.458 5.978 6.015 109.23 90.00 90.00
Site moments in Bohr magnetons follow the coordinates.
Positions (direct):
N (0.500, 0.236, 0.225)  -0.05
N (0.000, 0.251, 0.775)  -0.11
N (0.000, 0.749, 0.225)  -0.11
N (0.500, 0.764, 0.775)  -0.05
Zr (0.000, 0.000, 0.000)  0.08
Sm (0.500, 0.000, 0.500)  0.09
Sm (0.000, 0.500, 0.500)  0.08
Pu (0.500, 0.500, 0.000)  4.51

Here is crystalline AlMoBr2 at its relaxed geometry from the Alexandria database. Energies are from PBE-GGA.

Properties
- formation energy without anion corrections (kcal/mol of atoms) = 15.23
- crystal system = tetragonal
- E (eV/f.u.) = -15.3
- polymorph energy (0 for the lowest one) (eV/f.u.) = 3.48
- total magnetic moment (μB/atom) = 1.126

Lattice parameters (Å, degrees): 6.707 6.707 6.707 144.41 144.41 51.21
Site moments in Bohr magnetons follow the coordinates.
Positions (direct):
Al (0.750, 0.250, 0.500)  0.02
Br (0.000, 0.000, 0.000)  0.04
Br (0.250, 0.750, 0.500)  0.05
Mo (0.500, 0.500, 0.000)  3.55

Here is crystalline Cs3BaHg2F9 at its relaxed geometry from the Alexandria database. Energies are from PBE-GGA.

Properties
- formation energy without anion corrections (kcal/mol of atoms) = -56.45
- crystal system = trigonal
- E (eV/f.u.) = -58.6
- total magnetic moment (μB/atom) = 0.000

Lattice parameters (Å, degrees): 6.747 6.747 8.571 90.00 90.00 120.00
Positions (direct):
F (0.500, 0.000, 0.000)
F (0.340, 0.170, 0.688)
F (0.660, 0.830, 0.312)
F (0.000, 0.500, 0.000)
F (0.170, 0.830, 0.312)
F (0.500, 0.500, 0.000)
F (0.170, 0.340, 0.312)
F (0.830, 0.170, 0.688)
F (0.830, 0.660, 0.688)
Cs (0.333, 0.667, 0.709)
Cs (0.000, 0.000, 0.000)
Cs (0.667, 0.333, 0.291)
Hg (0.333, 0.667, 0.160)
Hg (0.667, 0.333, 0.840)
Ba (0.000, 0.000, 0.500)

Here is crystalline NaIrRu at its relaxed geometry from the Alexandria database. Energies are from PBE-GGA.

Properties
- crystal system = hexagonal
- E (eV/f.u.) = -17.0
- polymorph energy (0 for the lowest one) (eV/f.u.) = 1.41
- total magnetic moment (μB/atom) = 0.000
- energy of formation from the pure elements (eV per atom) = 0.8038

Lattice parameters (Å, degrees): 4.089 4.089 9.377 90.00 90.00 120.00
Positions (direct):
Ir (0.333, 0.667, 0.750)
Ir (0.667, 0.333, 0.250)
Ru (0.667, 0.333, 0.750)
Ru (0.333, 0.667, 0.250)
Na (0.000, 0.000, 0.500)
Na (0.000, 0.000, 0.000)

Here is crystalline Pr2ErZn12Cu3 at its relaxed geometry from the Alexandria database. Energies are from PBE-GGA.

Properties
- crystal system = trigonal
- E (eV/f.u.) = -42.0
- total magnetic moment (μB/atom) = 0.000
- energy of formation from the pure elements (eV per atom) = -0.0150

Lattice parameters (Å, degrees): 10.157 10.157 10.157 37.40 37.40 37.40
Positions (direct):
Zn (0.123, 0.123, 0.535)
Zn (0.465, 0.877, 0.877)
Zn (0.535, 0.123, 0.123)
Zn (0.877, 0.465, 0.877)
Zn (0.280, 0.678, 0.678)
Zn (0.322, 0.720, 0.322)
Zn (0.322, 0.322, 0.720)
Zn (0.720, 0.322, 0.322)
Zn (0.678, 0.678, 0.280)
Zn (0.877, 0.877, 0.465)
Zn (0.678, 0.280, 0.678)
Zn (0.123, 0.535, 0.123)
Pr (0.643, 0.643, 0.643)
Pr (0.357, 0.357, 0.357)
Cu (0.500, 0.000, 0.000)
Cu (0.000, 0.000, 0.500)
Cu (0.000, 0.500, 0.000)
Er (0.000, 0.000, 0.000)

Here is crystalline LiDyPa2Se4 at its relaxed geometry from the Alexandria database. Energies are from PBE-GGA.

Properties
- formation energy without anion corrections (kcal/mol of atoms) = -31.96
- crystal system = monoclinic
- E (eV/f.u.) = -50.5
- total magnetic moment (μB/atom) = 0.295

Lattice parameters (Å, degrees): 3.885 6.701 7.471 107.39 90.00 90.00
Site moments in Bohr magnetons follow the coordinates.
Positions (direct):
Li (0.000, 0.000, 0.000)  0.00
Se (0.500, 0.763, 0.767)  -0.01
Se (0.000, 0.244, 0.764)  -0.01
Se (0.000, 0.756, 0.236)  -0.01
Se (0.500, 0.237, 0.233)  -0.01
Dy (0.500, 0.500, 0.000)  -0.01
Pa (0.000, 0.500, 0.500)  1.10
Pa (0.500, 0.000, 0.500)  0.82

Here is crystalline SmErAu4 at its relaxed geometry from the Alexandria database. Energies are from PBE-GGA.

Properties
- crystal system = triclinic
- E (eV/f.u.) = -27.4
- total magnetic moment (μB/atom) = 0.000
- energy of formation from the pure elements (eV per atom) = -0.8389

Lattice parameters (Å, degrees): 3.763 5.278 7.526 80.42 75.53 110.96
Positions (direct):
Au (0.661, 0.993, 0.175)
Au (0.174, 0.505, 0.659)
Au (0.342, 0.001, 0.821)
Au (0.828, 0.490, 0.337)
Sm (0.501, 0.497, 0.998)
Er (0.001, 0.997, 0.498)

Here is crystalline CaPt2Au2 at its relaxed geometry from the Alexandria database. Energies are from PBE-GGA.

Properties
- crystal system = tetragonal
- E (eV/f.u.) = -22.3
- polymorph energy (0 for the lowest one) (eV/f.u.) = 0.25
- total magnetic moment (μB/atom) = 0.000
- energy of formation from the pure elements (eV per atom) = -0.3327

Lattice parameters (Å, degrees): 7.747 7.747 3.200 90.00 90.00 90.00
Positions (direct):
Ca (0.000, 0.000, 0.000)
Ca (0.500, 0.500, 0.000)
Pt (0.333, 0.167, 0.500)
Pt (0.167, 0.667, 0.500)
Pt (0.833, 0.333, 0.500)
Pt (0.667, 0.833, 0.500)
Au (0.868, 0.632, 0.000)
Au (0.368, 0.868, 0.000)
Au (0.132, 0.368, 0.000)
Au (0.632, 0.132, 0.000)

Here is crystalline LiTc2H at its relaxed geometry from the Alexandria database. Energies are from PBE-GGA.

Properties
- crystal system = cubic
- E (eV/f.u.) = -22.4
- polymorph energy (0 for the lowest one) (eV/f.u.) = 0.68
- total magnetic moment (μB/atom) = 0.000

Lattice parameters (Å, degrees): 3.915 3.915 3.915 60.00 60.00 60.00
Positions (direct):
Tc (0.250, 0.250, 0.250)
Tc (0.750, 0.750, 0.750)
Li (0.500, 0.500, 0.500)
H (0.000, 0.000, 0.000)

Here is crystalline Li2CrN2 at its relaxed geometry from the Alexandria database. Energies are from PBE-GGA.

Properties
- formation energy without anion corrections (kcal/mol of atoms) = -5.50
- crystal system = tetragonal
- E (eV/f.u.) = -31.3
- total magnetic moment (μB/atom) = 0.000

Lattice parameters (Å, degrees): 5.232 5.232 3.064 90.00 90.00 90.00
Positions (direct):
Li (0.363, 0.137, 0.500)
Li (0.637, 0.863, 0.500)
Li (0.863, 0.363, 0.500)
Li (0.137, 0.637, 0.500)
N (0.682, 0.182, 0.000)
N (0.182, 0.318, 0.000)
N (0.818, 0.682, 0.000)
N (0.318, 0.818, 0.000)
Cr (0.000, 0.000, 0.000)
Cr (0.500, 0.500, 0.000)

Here is crystalline Y3Al2Hg at its relaxed geometry from the Alexandria database. Energies are from PBE-GGA.

Properties
- crystal system = tetragonal
- E (eV/f.u.) = -29.9
- total magnetic moment (μB/atom) = 0.000
- energy of formation from the pure elements (eV per atom) = -0.4455

Lattice parameters (Å, degrees): 3.596 3.596 11.270 90.00 90.00 90.00
Positions (direct):
Hg (0.500, 0.500, 0.500)
Y (0.000, 0.000, 0.323)
Y (0.000, 0.000, 0.000)
Y (0.000, 0.000, 0.677)
Al (0.500, 0.500, 0.837)
Al (0.500, 0.500, 0.163)

Here is crystalline TaReRh2 at its relaxed geometry from the Alexandria database. Energies are from PBE-GGA.

Properties
- crystal system = tetragonal
- E (eV/f.u.) = -40.5
- polymorph energy (0 for the lowest one) (eV/f.u.) = 0.00
- total magnetic moment (μB/atom) = 0.000
- energy of formation from the pure elements (eV per atom) = -0.3691

Lattice parameters (Å, degrees): 3.925 3.925 3.927 90.00 90.00 90.00
Positions (direct):
Rh (0.000, 0.500, 0.000)
Rh (0.500, 0.000, 0.000)
Ta (0.500, 0.500, 0.500)
Re (0.000, 0.000, 0.500)

Here is crystalline AgRhI2 at its relaxed geometry from the Alexandria database. Energies are from PBE-GGA.

Properties
- formation energy without anion corrections (kcal/mol of atoms) = 4.09
- crystal system = tetragonal
- E (eV/f.u.) = -12.6
- polymorph energy (0 for the lowest one) (eV/f.u.) = 0.00
- total magnetic moment (μB/atom) = 0.000

Lattice parameters (Å, degrees): 6.343 6.343 7.723 65.76 65.76 90.00
Positions (direct):
Rh (0.500, 0.500, 0.000)
Rh (0.250, 0.750, 0.500)
Ag (0.750, 0.250, 0.500)
Ag (0.000, 0.000, 0.000)
I (0.375, 0.408, 0.750)
I (0.592, 0.125, 0.250)
I (0.875, 0.842, 0.750)
I (0.158, 0.625, 0.250)

Here is crystalline Sc2AgGe at its relaxed geometry from the Alexandria database. Energies are from PBE-GGA.

Properties
- crystal system = tetragonal
- E (eV/f.u.) = -19.6
- total magnetic moment (μB/atom) = 0.000
- energy of formation from the pure elements (eV per atom) = 0.1371

Lattice parameters (Å, degrees): 4.359 4.359 9.958 77.36 77.36 90.00
Positions (direct):
Ag (0.000, 0.000, 0.000)
Ag (0.750, 0.250, 0.500)
Sc (0.375, 0.393, 0.750)
Sc (0.875, 0.857, 0.750)
Sc (0.607, 0.125, 0.250)
Sc (0.143, 0.625, 0.250)
Ge (0.250, 0.750, 0.500)
Ge (0.500, 0.500, 0.000)

Here is crystalline CaNd3Sn3 at its relaxed geometry from the Alexandria database. Energies are from PBE-GGA.

Properties
- crystal system = monoclinic
- E (eV/f.u.) = -31.4
- total magnetic moment (μB/atom) = 0.000
- energy of formation from the pure elements (eV per atom) = -0.4423

Lattice parameters (Å, degrees): 8.048 8.048 7.841 88.18 88.18 110.58
Positions (direct):
Sn (0.506, 0.147, 0.330)
Sn (0.061, 0.061, 0.817)
Sn (0.939, 0.939, 0.183)
Sn (0.147, 0.506, 0.330)
Sn (0.853, 0.494, 0.670)
Sn (0.494, 0.853, 0.670)
Nd (0.631, 0.631, 0.363)
Nd (0.369, 0.369, 0.637)
Nd (0.223, 0.777, 0.000)
Nd (0.853, 0.147, 0.500)
Nd (0.147, 0.853, 0.500)
Nd (0.777, 0.223, 0.000)
Ca (0.286, 0.286, 0.103)
Ca (0.714, 0.714, 0.897)

Here is crystalline SrAcBi at its relaxed geometry from the Alexandria database. Energies are from PBE-GGA.

Properties
- crystal system = trigonal
- E (eV/f.u.) = -10.8
- polymorph energy (0 for the lowest one) (eV/f.u.) = 0.35
- total magnetic moment (μB/atom) = 0.000
- energy of formation from the pure elements (eV per atom) = -0.3710

Lattice parameters (Å, degrees): 4.678 5.503 5.503 120.00 90.00 90.00
Positions (direct):
Sr (0.568, 0.667, 0.333)
Ac (0.037, 0.000, 0.000)
Bi (0.395, 0.333, 0.667)

Here is crystalline Ce4OsRhBr2 at its relaxed geometry from the Alexandria database. Energies are from PBE-GGA.

Properties
- formation energy without anion corrections (kcal/mol of atoms) = -20.10
- crystal system = monoclinic
- E (eV/f.u.) = -52.6
- total magnetic moment (μB/atom) = 0.394

Lattice parameters (Å, degrees): 4.069 7.049 8.024 107.02 90.00 90.00
Site moments in Bohr magnetons follow the coordinates.
Positions (direct):
Ce (0.500, 0.227, 0.198)  0.66
Ce (0.000, 0.737, 0.198)  0.75
Ce (0.000, 0.263, 0.802)  0.75
Ce (0.500, 0.773, 0.802)  0.66
Br (0.000, 0.500, 0.500)  -0.01
Br (0.500, 0.000, 0.500)  -0.01
Rh (0.500, 0.500, 0.000)  -0.08
Os (0.000, 0.000, 0.000)  -0.11

Here is crystalline TaTl2Cd at its relaxed geometry from the Alexandria database. Energies are from PBE-GGA.

Properties
- crystal system = monoclinic
- E (eV/f.u.) = -15.2
- polymorph energy (0 for the lowest one) (eV/f.u.) = 0.71
- total magnetic moment (μB/atom) = 0.000
- energy of formation from the pure elements (eV per atom) = 0.5675

Lattice parameters (Å, degrees): 5.376 3.021 5.682 89.18 90.00 90.00
Positions (direct):
Cd (0.500, 0.250, 0.250)
Tl (0.000, 0.485, 0.508)
Tl (0.000, 0.015, 0.992)
Ta (0.500, 0.750, 0.750)

Here is crystalline YRu3Pt at its relaxed geometry from the Alexandria database. Energies are from PBE-GGA.

Properties
- crystal system = cubic
- E (eV/f.u.) = -34.8
- polymorph energy (0 for the lowest one) (eV/f.u.) = 0.00
- total magnetic moment (μB/atom) = 0.730
- energy of formation from the pure elements (eV per atom) = 1.1127

Lattice parameters (Å, degrees): 4.793 4.793 4.793 90.00 90.00 90.00
Site moments in Bohr magnetons follow the coordinates.
Positions (direct):
Ru (0.000, 0.000, 0.500)  1.51
Ru (0.000, 0.500, 0.000)  1.09
Ru (0.500, 0.000, 0.000)  0.68
Pt (0.000, 0.000, 0.000)  0.44
Y (0.500, 0.500, 0.500)  -0.09

Here is crystalline Ba5SrSe6 at its relaxed geometry from the Alexandria database. Energies are from PBE-GGA.

Properties
- formation energy without anion corrections (kcal/mol of atoms) = -47.19
- crystal system = monoclinic
- E (eV/f.u.) = -56.8
- total magnetic moment (μB/atom) = 0.000

Lattice parameters (Å, degrees): 8.112 8.116 8.115 60.00 80.39 70.51
Positions (direct):
Ba (0.500, 0.833, 0.334)
Ba (0.000, 0.667, 0.667)
Ba (0.500, 0.167, 0.666)
Ba (0.000, 0.333, 0.333)
Ba (0.500, 0.500, 0.000)
Se (0.245, 0.243, 0.000)
Se (0.755, 0.082, 0.325)
Se (0.755, 0.757, 0.000)
Se (0.755, 0.407, 0.675)
Se (0.245, 0.593, 0.325)
Se (0.245, 0.918, 0.675)
Sr (0.000, 0.000, 0.000)

Here is crystalline TaTc2Mo at its relaxed geometry from the Alexandria database. Energies are from PBE-GGA.

Properties
- crystal system = tetragonal
- E (eV/f.u.) = -43.1
- polymorph energy (0 for the lowest one) (eV/f.u.) = 1.13
- total magnetic moment (μB/atom) = 0.000
- energy of formation from the pure elements (eV per atom) = 0.0827

Lattice parameters (Å, degrees): 2.762 2.762 8.367 90.00 90.00 90.00
Positions (direct):
Tc (0.000, 0.000, 0.022)
Tc (0.500, 0.500, 0.235)
Ta (0.500, 0.500, 0.760)
Mo (0.000, 0.000, 0.483)

Here is crystalline KMgBi2 at its relaxed geometry from the Alexandria database. Energies are from PBE-GGA.

Properties
- crystal system = orthorhombic
- E (eV/f.u.) = -11.6
- total magnetic moment (μB/atom) = 0.000
- energy of formation from the pure elements (eV per atom) = -0.2921

Lattice parameters (Å, degrees): 4.597 4.597 14.433 98.82 98.82 92.13
Positions (direct):
K (0.121, 0.121, 0.231)
K (0.890, 0.890, 0.769)
Bi (0.322, 0.322, 0.637)
Bi (0.685, 0.685, 0.363)
Bi (0.965, 0.512, 0.000)
Bi (0.512, 0.965, 0.000)
Mg (0.252, 0.752, 0.500)
Mg (0.752, 0.252, 0.500)